(1)
# TiGaBi2P, single point on PBEsol structure, DFT SCAN
data_TiGaBi2P
_space_group_name_H-M_alt 'P 1'
_space_group_IT_number 1
_space_group_name_Hall 'P 1'
_cell_length_a 4.571
_cell_length_b 5.444
_cell_length_c 5.444
_cell_angle_alpha 90.00
_cell_angle_beta 90.00
_cell_angle_gamma 90.00
loop_
_atom_site_label
_atom_site_fract_x
_atom_site_fract_y
_atom_site_fract_z
_atom_site_occupancy
P1 0.000 0.000 0.000 1
Ga1 0.500 0.500 0.500 1
Bi1 0.000 0.500 0.000 1
Bi2 0.000 0.000 0.500 1
Ti1 0.500 0.000 0.000 1
# - Crystal system: tetragonal
# - ΔH_f (0 K): 207 kJ/mol of formula units

***

(2)
# MgScIn2, single point on PBEsol structure, DFT SCAN
data_MgScIn2
_space_group_name_H-M_alt 'P 1'
_space_group_IT_number 1
_space_group_name_Hall 'P 1'
_cell_length_a 3.243
_cell_length_b 5.291
_cell_length_c 5.291
_cell_angle_alpha 106.05
_cell_angle_beta 90.00
_cell_angle_gamma 90.00
loop_
_atom_site_label
_atom_site_fract_x
_atom_site_fract_y
_atom_site_fract_z
_atom_site_occupancy
In1 0.000 0.000 0.500 1
In2 0.000 0.500 0.000 1
Sc1 0.500 0.500 0.500 1
Mg1 0.500 0.000 0.000 1
# - Crystal system: orthorhombic
# - ΔH_f (0 K): -160 kJ/mol of formula units

***

(3)
# TaOs5, single point on PBEsol structure, DFT SCAN
data_TaOs5
_space_group_name_H-M_alt 'P 1'
_space_group_IT_number 1
_space_group_name_Hall 'P 1'
_cell_length_a 2.771
_cell_length_b 4.377
_cell_length_c 7.323
_cell_angle_alpha 90.00
_cell_angle_beta 100.91
_cell_angle_gamma 90.00
loop_
_atom_site_label
_atom_site_fract_x
_atom_site_fract_y
_atom_site_fract_z
_atom_site_occupancy
Os1 0.217 0.500 0.435 1
Os2 0.558 0.500 0.117 1
Os3 0.668 0.000 0.337 1
Os4 0.002 0.000 0.004 1
Os5 0.332 0.000 0.664 1
Ta1 0.889 0.500 0.777 1
# - Crystal system: orthorhombic
# - ΔH_f (0 K): -37 kJ/mol of formula units
# - ΔE to the lowest computed polymorph: 0.040 eV/atom

***

(4)
# Cr2SBr, single point on PBEsol structure, DFT SCAN
data_Cr2SBr
_space_group_name_H-M_alt 'P 1'
_space_group_IT_number 1
_space_group_name_Hall 'P 1'
_cell_length_a 4.582
_cell_length_b 4.582
_cell_length_c 4.582
_cell_angle_alpha 60.00
_cell_angle_beta 60.00
_cell_angle_gamma 60.00
loop_
_atom_site_label
_atom_site_fract_x
_atom_site_fract_y
_atom_site_fract_z
_atom_site_occupancy
Cr1 0.750 0.750 0.750 1
Cr2 0.250 0.250 0.250 1
Br1 0.500 0.500 0.500 1
S1 0.000 0.000 0.000 1
# - Crystal system: cubic
# - Formation energy from raw total energies: -0.1166 eV/atom

***

(5)
# BaCa2Ni, single point on PBEsol structure, DFT SCAN
data_BaCa2Ni
_space_group_name_H-M_alt 'P 1'
_space_group_IT_number 1
_space_group_name_Hall 'P 1'
_cell_length_a 5.429
_cell_length_b 5.429
_cell_length_c 5.429
_cell_angle_alpha 60.00
_cell_angle_beta 60.00
_cell_angle_gamma 60.00
loop_
_atom_site_label
_atom_site_fract_x
_atom_site_fract_y
_atom_site_fract_z
_atom_site_occupancy
Ni1 0.500 0.500 0.500 1
Ca1 0.250 0.250 0.250 1
Ca2 0.750 0.750 0.750 1
Ba1 0.000 0.000 0.000 1
# - Crystal system: cubic
# - ΔH_f (0 K): 163 kJ/mol of formula units
# - ΔE to the lowest computed polymorph: 0.281 eV/atom

***

(6)
# GaPd3Ru, single point on PBEsol structure, DFT SCAN
data_GaPd3Ru
_space_group_name_H-M_alt 'P 1'
_space_group_IT_number 1
_space_group_name_Hall 'P 1'
_cell_length_a 4.482
_cell_length_b 4.482
_cell_length_c 4.482
_cell_angle_alpha 90.00
_cell_angle_beta 90.00
_cell_angle_gamma 90.00
loop_
_atom_site_label
_atom_site_fract_x
_atom_site_fract_y
_atom_site_fract_z
_atom_site_occupancy
Pd1 0.000 0.500 0.000 1
Pd2 0.000 0.000 0.500 1
Pd3 0.500 0.000 0.000 1
Ga1 0.000 0.000 0.000 1
Ru1 0.500 0.500 0.500 1
# - Crystal system: cubic
# - ΔH_f (0 K): 385 kJ/mol of formula units

***

Number 1: total DFT energy (no corrections) -39.56 eV per atom, theoretical density 6.944 g cm⁻³, calculated volume 135.47 Å³ per cell. Number 2: total DFT energy (no corrections) -21.91 eV per atom, theoretical density 5.689 g cm⁻³, calculated volume 87.25 Å³ per cell. Number 3: total DFT energy (no corrections) -71.06 eV per atom, theoretical density 21.551 g cm⁻³, calculated volume 87.23 Å³ per cell. Number 4: total DFT energy (no corrections) -16.58 eV per atom, theoretical density 5.273 g cm⁻³, calculated volume 68.01 Å³ per cell. Number 5: total DFT energy (no corrections) -18.34 eV per atom, theoretical density 4.054 g cm⁻³, calculated volume 113.13 Å³ per cell. Number 6: total DFT energy (no corrections) -29.10 eV per atom, theoretical density 9.038 g cm⁻³, calculated volume 90.04 Å³ per cell.